(1)
Here is a relaxed structure of BeCoSb2I from Alexandria via LeMat-Bulk. Energies are from GGA-PBEsol.

Cell and atoms, written as CIF:
```
data_BeCoSb2I
_space_group_name_H-M_alt 'P 4/m m m'
_space_group_IT_number 123
_space_group_name_Hall '-P 4 2'
_cell_length_a 4.762
_cell_length_b 4.762
_cell_length_c 5.113
_cell_angle_alpha 90.00
_cell_angle_beta 90.00
_cell_angle_gamma 90.00
loop_
_atom_site_label
_atom_site_type_symbol
_atom_site_fract_x
_atom_site_fract_y
_atom_site_fract_z
_atom_site_occupancy
Be1 Be 0.000 0.000 0.000 1
Co1 Co 0.500 0.500 0.500 1
Sb1 Sb 0.000 0.500 0.000 1
I1 I 0.000 0.000 0.500 1
```

Values from the calculation:
Formation energy without anion corrections, eV per atom: 1.026



(2)
Here is a relaxed structure of Be2InCo from Alexandria via LeMat-Bulk. Energies are from GGA-PBEsol.

Cell and atoms, written as CIF:
```
data_Be2InCo
_space_group_name_H-M_alt 'C 1 2/m 1'
_space_group_IT_number 12
_cell_length_a 7.906
_cell_length_b 2.993
_cell_length_c 4.277
_cell_angle_alpha 90.00
_cell_angle_beta 107.12
_cell_angle_gamma 90.00
loop_
_space_group_symop_operation_xyz
'x,y,z'
'-x,-y,-z'
'-x,y,-z'
'x,-y,z'
'x+1/2,y+1/2,z'
'-x+1/2,-y+1/2,-z'
'-x+1/2,y+1/2,-z'
'x+1/2,-y+1/2,z'
loop_
_atom_site_label
_atom_site_type_symbol
_atom_site_fract_x
_atom_site_fract_y
_atom_site_fract_z
_atom_site_occupancy
Be1 Be 0.219 0.000 0.143 1
In1 In 0.000 0.000 0.500 1
Co1 Co 0.000 0.500 0.000 1
```

Values from the calculation:
Formation enthalpy at 0 K, meV per atom: 106